This record from Alexandria describes a relaxed TlSnI2F crystal. The functional is GGA-PBE.

Cell and atoms, written as POSCAR:
```
TlSnI2F
1.0
6.346 0.000 0.000
0.000 6.346 0.000
0.000 0.000 4.555
Tl Sn I F
1 1 2 1
Cartesian
0.000 0.000 0.000
3.173 3.173 2.278
0.000 3.173 2.278
3.173 0.000 2.278
3.173 3.173 0.000
```

Summary:
Symmetry: P4/mmm, No. 123
Formation energy without anion corrections, eV/atom: -1.032
Total moment, μB per formula unit: 0.00